(1)
Computed, not measured: crystalline OsI2Cl6 at its relaxed geometry at the PBE-GGA level of DFT.

abc: 11.0451 11.0451 8.4029
angles: 107.29 107.29 82.01
Sites, in units of the cell vectors:
Os 0.1243 0.8757 0.7500
Os 0.8757 0.1243 0.2500
I 0.3538 0.3543 0.2489
I 0.3543 0.3538 0.7489
I 0.6457 0.6462 0.2511
I 0.6462 0.6457 0.7511
Cl 0.0641 0.1414 0.4397
Cl 0.1414 0.0641 0.9397
Cl 0.1511 0.7258 0.8841
Cl 0.2508 0.4570 0.4983
Cl 0.2742 0.8489 0.6159
Cl 0.4570 0.2508 0.9983
Cl 0.5430 0.7492 0.0017
Cl 0.7258 0.1511 0.3841
Cl 0.7492 0.5430 0.5017
Cl 0.8489 0.2742 0.1159
Cl 0.8586 0.9359 0.0603
Cl 0.9359 0.8586 0.5603

SG: C2/c

=====

(2)
Computed, not measured: crystalline OsI2Cl2 at its relaxed geometry at the PBE-GGA level of DFT.

abc: 4.1316 4.1316 20.4420
angles: 90.00 90.00 90.00
Sites, in units of the cell vectors:
Os 0.0000 0.0000 0.0000
Os 0.5000 0.5000 0.5000
I 0.0000 0.5000 0.2500
I 0.0000 0.5000 0.7500
I 0.5000 0.0000 0.2500
I 0.5000 0.0000 0.7500
Cl 0.0000 0.0000 0.4255
Cl 0.0000 0.0000 0.5745
Cl 0.5000 0.5000 0.0745
Cl 0.5000 0.5000 0.9255

SG: I4/mmm
Fermi-level density of states: 7.6 states/eV/cell
offset from the most stable computed form: 0.864 eV/atom

=====

(3)
Computed, not measured: crystalline Os3ICl at its relaxed geometry at the PBE-GGA level of DFT.

abc: 4.9428 4.9428 4.9428
angles: 90.00 90.00 90.00
Sites, in units of the cell vectors:
Os 0.0000 0.0000 0.5000
Os 0.0000 0.5000 0.0000
Os 0.5000 0.0000 0.0000
I 0.0000 0.0000 0.0000
Cl 0.5000 0.5000 0.5000

SG: Pm-3m
Fermi-level density of states: 5.3 states/eV/cell
offset from the most stable computed form: 0.586 eV/atom

=====

(4)
Computed, not measured: crystalline P2OsICl at its relaxed geometry at the PBE-GGA level of DFT.

abc: 5.1786 5.1786 5.0932
angles: 90.00 90.00 90.00
Sites, in units of the cell vectors:
P 0.0000 0.5000 0.0000
P 0.5000 0.0000 0.0000
Os 0.0000 0.0000 0.5000
I 0.5000 0.5000 0.0000
Cl 0.5000 0.5000 0.5000

SG: P4/mmm
Fermi-level density of states: 6.6 states/eV/cell
offset from the most stable computed form: 1.821 eV/atom

=====

(5)
Computed, not measured: crystalline P2OsICl at its relaxed geometry at the PBE-GGA level of DFT.

abc: 4.6463 4.6463 4.9258
angles: 90.00 90.00 90.00
Sites, in units of the cell vectors:
P 0.0000 0.5000 0.0000
P 0.5000 0.0000 0.0000
Os 0.0000 0.0000 0.0000
I 0.5000 0.5000 0.5000
Cl 0.0000 0.0000 0.5000

SG: P4/mmm
Fermi-level density of states: 2.9 states/eV/cell
offset from the most stable computed form: 0.000 eV/atom

=====

(6)
Computed, not measured: crystalline Pr4OsI2Cl at its relaxed geometry at the PBE-GGA level of DFT.

abc: 7.6363 4.2171 8.3672
angles: 90.00 107.12 90.00
Sites, in units of the cell vectors:
Pr 0.2024 0.0000 0.1919
Pr 0.2485 0.5000 0.8079
Pr 0.7515 0.5000 0.1921
Pr 0.7976 0.0000 0.8081
Os 0.0000 0.5000 0.0000
I 0.0000 0.0000 0.5000
I 0.5000 0.5000 0.5000
Cl 0.5000 0.0000 0.0000

SG: P2/m
Fermi-level density of states: 5.0 states/eV/cell

=====

(7)
Computed, not measured: crystalline Pr8Os3I4Cl at its relaxed geometry at the PBE-GGA level of DFT.

abc: 9.5014 9.5014 9.5014
angles: 53.77 53.77 53.77
Sites, in units of the cell vectors:
Pr 0.2029 0.7423 0.7423
Pr 0.2290 0.2290 0.2290
Pr 0.2577 0.2577 0.7971
Pr 0.2577 0.7971 0.2577
Pr 0.7423 0.2029 0.7423
Pr 0.7423 0.7423 0.2029
Pr 0.7710 0.7710 0.7710
Pr 0.7971 0.2577 0.2577
Os 0.0000 0.0000 0.5000
Os 0.0000 0.5000 0.0000
Os 0.5000 0.0000 0.0000
I 0.0000 0.0000 0.0000
I 0.0000 0.5000 0.5000
I 0.5000 0.0000 0.5000
I 0.5000 0.5000 0.0000
Cl 0.5000 0.5000 0.5000

SG: R-3m
Fermi-level density of states: 8.9 states/eV/cell

=====

(8)
Computed, not measured: crystalline OsSICl2 at its relaxed geometry at the PBE-GGA level of DFT.

abc: 5.4724 5.4724 5.1694
angles: 90.00 90.00 90.00
Sites, in units of the cell vectors:
Os 0.0000 0.0000 0.0000
S 0.5000 0.5000 0.0000
I 0.5000 0.5000 0.5000
Cl 0.0000 0.5000 0.5000
Cl 0.5000 0.0000 0.5000

SG: P4/mmm
Fermi-level density of states: 6.1 states/eV/cell
offset from the most stable computed form: 1.303 eV/atom

=====

no.,uncorrected energy (eV/atom),formation energy from raw total energies (eV per atom)
1,-2.955,-0.132
2,-2.308,1.297
3,-4.430,2.987
4,-2.832,2.258
5,-4.653,0.437
6,-5.283,-0.871
7,-5.715,-0.717
8,-2.477,1.644